PBE KAcCl4, optimized geometry; VASP energy = -4.356 eV/atom; uncorrected formation energy = -2.26 eV per atom; spin magnetization = 0.00 μB/f.u.; space group = I4_1md
1.0
-4.9262 4.9262 4.7335
4.9262 -4.9262 4.7335
4.9262 4.9262 -4.7335
K Ac Cl
2 2 8
direct
0.0000 0.0000 0.0000 K
0.7500 0.2500 0.5000 K
0.2671 0.7671 0.5000 Ac
0.5171 0.5171 0.0000 Ac
0.2268 0.5276 0.6992 Cl
0.2776 0.0784 0.8008 Cl
0.2776 0.4768 0.1992 Cl
0.2924 0.9840 0.3084 Cl
0.6756 0.9840 0.6916 Cl
0.7340 0.5424 0.8084 Cl
0.7340 0.9256 0.1916 Cl
0.8284 0.5276 0.3008 Cl